Entry 1:
A geometry-optimized RbInBrF structure. Source: the Alexandria database, functional PBE.

VASP energy (eV per atom): -3.45
Formation energy without anion corrections (eV/f.u.): -6.552
N(E_F) (states/eV/f.u.): 0.00
SG: R-3m (166)

Cell lengths 5.4610, 5.4610, 11.5697 Å; angles 76.35, 76.35, 60.00 degrees
Fractional positions:
In  0.7225  0.7225  0.8326
Rb  0.1272  0.1272  0.6184
In  0.2775  0.2775  0.1674
Br  0.5926  0.5926  0.2223
Br  0.4074  0.4074  0.7777
F  0.2085  0.2085  0.3745
Rb  0.8728  0.8728  0.3816
F  0.7915  0.7915  0.6255

=====

Entry 2:
A geometry-optimized Pm3Ho2In7 structure. Source: the Alexandria database, functional PBE.

VASP energy (eV per atom): -3.77
N(E_F) (states/eV/f.u.): 10.75
ΔH_f (0 K) (kcal/mol of atoms): -5.20
SG: Cmmm (65)

Cell lengths 5.3724, 5.1712, 13.0011 Å; angles 101.47, 90.00, 90.00 degrees
Fractional positions:
In  0.0000  0.0000  0.0000
In  0.5000  0.9201  0.8403
In  0.0000  0.2732  0.5464
Pm  0.5000  0.6577  0.3154
Ho  0.0000  0.8541  0.7081
In  0.0000  0.4245  0.8490
Pm  0.5000  0.5000  0.0000
Ho  0.0000  0.1459  0.2919
In  0.5000  0.0799  0.1597
Pm  0.5000  0.3423  0.6846
In  0.0000  0.7268  0.4536
In  0.0000  0.5755  0.1510